PBE ZrCdCoPt, relaxed; formation energy = -0.41 eV/atom
1.0
0.000 3.239 3.239
3.239 0.000 3.239
3.239 3.239 0.000
Zr Cd Co Pt
1 1 1 1
Direct
0.000 0.000 0.000
0.500 0.500 0.500
0.250 0.250 0.250
0.750 0.750 0.750

PBE SrRe2Sb, relaxed; formation energy (no corrections) = 1.166 eV per atom
1.0
1.703 -2.559 0.000
1.703 2.559 0.000
0.000 0.000 9.335
Sr Re Sb
1 2 1
Direct
0.000 0.000 0.000
0.500 0.500 0.280
0.500 0.500 0.720
0.000 0.000 0.500

PBE AcPrCdIn, relaxed; energy above the lowest structure with this stoichiometry = 3 meV per atom; formation energy = -0.37 eV/atom
1.0
0.000 4.003 4.003
4.003 0.000 4.003
4.003 4.003 0.000
Ac Pr Cd In
1 1 1 1
Direct
0.000 0.000 0.000
0.500 0.500 0.500
0.250 0.250 0.250
0.750 0.750 0.750

PBE ThCuN2, relaxed; formation energy (no corrections) = -0.705 eV per atom
1.0
3.969 0.000 0.000
0.000 3.969 0.000
0.000 0.000 3.354
Th Cu N
1 1 2
Direct
0.000 0.000 0.000
0.500 0.500 0.500
0.000 0.500 0.500
0.500 0.000 0.500

PBE Cs3La3NpTe8, relaxed; formation energy (no corrections) = -1.312 eV per atom
1.0
4.688 2.706 9.081
-4.688 2.706 9.081
0.000 -5.413 9.081
Cs La Np Te
3 3 1 8
Direct
0.000 0.500 0.500
0.500 0.000 0.500
0.500 0.500 0.000
0.000 0.000 0.500
0.000 0.500 0.000
0.500 0.000 0.000
0.500 0.500 0.500
0.232 0.232 0.232
0.244 0.722 0.722
0.278 0.278 0.756
0.278 0.756 0.278
0.722 0.244 0.722
0.722 0.722 0.244
0.756 0.278 0.278
0.768 0.768 0.768

PBE NiHOs, relaxed; energy above the lowest structure with this stoichiometry = 0 meV per atom
1.0
2.735 0.000 0.000
0.000 3.784 0.000
0.000 0.000 5.345
Ni H Os
2 2 2
Direct
0.250 0.250 0.119
0.750 0.750 0.881
0.250 0.750 0.114
0.750 0.250 0.886
0.250 0.250 0.610
0.750 0.750 0.390

Respective Fermi-level density of states values: 2.007 4.048 5.374 1.371 3.539 3.044 states/eV/cell.